Arrangement one

DFT (PBE) results for a geometry-optimized TlVS2Cl structure.

abc: 4.6327 4.6327 5.1565
angles: 90.00 90.00 90.00
Space group P4/mmm (No. 123)
Unique sites:
Tl: 0.0000 0.0000 0.0000 (multiplicity 1)
V: 0.5000 0.5000 0.5000 (multiplicity 1)
S: 0.0000 0.5000 0.5000 (multiplicity 2)
Cl: 0.5000 0.5000 0.0000 (multiplicity 1)

## Properties
- Size of the total moment: 0.20 μB/atom

***

Arrangement two

DFT (PBE) results for a geometry-optimized TlVS2Cl structure.

abc: 5.1455 5.1455 5.1302
angles: 90.00 90.00 90.00
Space group P4/mmm (No. 123)
Unique sites:
Tl: 0.0000 0.0000 0.0000 (multiplicity 1)
V: 0.5000 0.5000 0.5000 (multiplicity 1)
S: 0.0000 0.5000 0.0000 (multiplicity 2)
Cl: 0.0000 0.0000 0.5000 (multiplicity 1)

## Properties
- Size of the total moment: 0.57 μB/atom

***

Tell me which of them is the least stable. Sure, it is arrangement two.

***

Arrangement one

DFT (PBE) results for a geometry-optimized TlWS2Cl structure.

abc: 4.7111 4.7111 5.1023
angles: 90.00 90.00 90.00
Space group P4/mmm (No. 123)
Unique sites:
Tl: 0.0000 0.0000 0.0000 (multiplicity 1)
W: 0.5000 0.5000 0.5000 (multiplicity 1)
S: 0.0000 0.5000 0.5000 (multiplicity 2)
Cl: 0.5000 0.5000 0.0000 (multiplicity 1)

## Properties
- Size of the total moment: 0.02 μB/atom

***

Arrangement two

DFT (PBE) results for a geometry-optimized TlWS2Cl structure.

abc: 5.1462 5.1462 5.0042
angles: 90.00 90.00 90.00
Space group P4/mmm (No. 123)
Unique sites:
Tl: 0.0000 0.0000 0.0000 (multiplicity 1)
W: 0.5000 0.5000 0.5000 (multiplicity 1)
S: 0.0000 0.5000 0.0000 (multiplicity 2)
Cl: 0.0000 0.0000 0.5000 (multiplicity 1)

## Properties
- Size of the total moment: 0.76 μB/atom

***

Tell me which of them is the least stable. Sure, it is arrangement two.

***

Arrangement one

DFT (PBE) results for a geometry-optimized YTlSCl2 structure.

abc: 5.3439 5.3439 5.2799
angles: 90.00 90.00 90.00
Space group P4/mmm (No. 123)
Unique sites:
Y: 0.0000 0.0000 0.0000 (multiplicity 1)
Tl: 0.5000 0.5000 0.5000 (multiplicity 1)
S: 0.0000 0.0000 0.5000 (multiplicity 1)
Cl: 0.0000 0.5000 0.0000 (multiplicity 2)

## Properties
- Size of the total moment: 0.00 μB/atom

***

Arrangement two

DFT (PBE) results for a geometry-optimized YTlSCl2 structure.

abc: 5.4235 5.4235 5.1271
angles: 90.00 90.00 90.00
Space group P4/mmm (No. 123)
Unique sites:
Y: 0.0000 0.0000 0.0000 (multiplicity 1)
Tl: 0.5000 0.5000 0.5000 (multiplicity 1)
S: 0.5000 0.5000 0.0000 (multiplicity 1)
Cl: 0.0000 0.5000 0.5000 (multiplicity 2)

## Properties
- Size of the total moment: 0.19 μB/atom

***

Tell me which of them is the least stable. Sure, it is arrangement two.

***

Arrangement one

DFT (PBE) results for a geometry-optimized ZrTlS2Cl structure.

abc: 5.0373 5.0373 5.1661
angles: 90.00 90.00 90.00
Space group P4/mmm (No. 123)
Unique sites:
Zr: 0.0000 0.0000 0.0000 (multiplicity 1)
Tl: 0.5000 0.5000 0.5000 (multiplicity 1)
S: 0.0000 0.5000 0.0000 (multiplicity 2)
Cl: 0.0000 0.0000 0.5000 (multiplicity 1)

## Properties
- Size of the total moment: 0.00 μB/atom

***

Arrangement two

DFT (PBE) results for a geometry-optimized ZrTlS2Cl structure.

abc: 8.5676 3.7547 8.8871
angles: 90.00 104.98 90.00
Space group P2_1/m (No. 11)
Unique sites:
Zr: 0.1704 0.2500 0.1491 (multiplicity 2)
Tl: 0.3169 0.7500 0.7505 (multiplicity 2)
S: 0.0460 0.2500 0.8489 (multiplicity 2)
S: 0.3618 0.7500 0.1256 (multiplicity 2)
Cl: 0.2410 0.2500 0.4379 (multiplicity 2)

## Properties
- Size of the total moment: 0.00 μB/atom

***

Tell me which of them is the least stable. Sure, it is arrangement one.

***

Arrangement one

DFT (PBE) results for a geometry-optimized ZrTlSCl2 structure.

abc: 5.3634 5.3634 5.1457
angles: 90.00 90.00 90.00
Space group P4/mmm (No. 123)
Unique sites:
Zr: 0.0000 0.0000 0.0000 (multiplicity 1)
Tl: 0.5000 0.5000 0.5000 (multiplicity 1)
S: 0.5000 0.5000 0.0000 (multiplicity 1)
Cl: 0.0000 0.5000 0.5000 (multiplicity 2)

## Properties
- Size of the total moment: 0.44 μB/atom

***

Arrangement two

DFT (PBE) results for a geometry-optimized ZrTlSCl2 structure.

abc: 5.1301 5.1301 5.0362
angles: 90.00 90.00 90.00
Space group P4/mmm (No. 123)
Unique sites:
Zr: 0.0000 0.0000 0.0000 (multiplicity 1)
Tl: 0.5000 0.5000 0.5000 (multiplicity 1)
S: 0.0000 0.0000 0.5000 (multiplicity 1)
Cl: 0.0000 0.5000 0.0000 (multiplicity 2)

## Properties
- Size of the total moment: 0.00 μB/atom

***

Tell me which of them is the least stable. Sure, it is arrangement one.

***

Arrangement one

DFT (PBE) results for a geometry-optimized Tm2SCl structure.

abc: 3.7374 3.7374 27.9711
angles: 90.00 90.00 120.00
Space group R3m (No. 160, hexagonal axes)
Unique sites:
Tm: 0.0000 0.0000 0.0000 (multiplicity 3)
Tm: 0.0000 0.0000 0.2233 (multiplicity 3)
S: 0.0000 0.0000 0.6131 (multiplicity 3)
Cl: 0.0000 0.0000 0.3934 (multiplicity 3)

## Properties
- Size of the total moment: 0.00 μB/atom

***

Arrangement two

DFT (PBE) results for a geometry-optimized Tm2SCl structure.

abc: 3.6968 3.6968 21.8518
angles: 90.00 90.00 120.00
Space group R-3m (No. 166, hexagonal axes)
Unique sites:
Tm: 0.0000 0.0000 0.2356 (multiplicity 6)
S: 0.0000 0.0000 0.5000 (multiplicity 3)
Cl: 0.0000 0.0000 0.0000 (multiplicity 3)

## Properties
- Size of the total moment: 0.00 μB/atom

***

Tell me which of them is the least stable. Sure, it is arrangement two.

***

Arrangement one

DFT (PBE) results for a geometry-optimized USCl3 structure.

abc: 7.2938 7.2401 13.8510
angles: 90.00 95.19 90.00
Space group P2/c (No. 13)
Unique sites:
U: 0.0836 0.1112 0.1365 (multiplicity 4)
S: 0.1308 0.3735 0.2840 (multiplicity 4)
Cl: 0.1171 0.2060 0.5316 (multiplicity 4)
Cl: 0.2199 0.0721 0.7971 (multiplicity 4)
Cl: 0.3723 0.2384 0.0760 (multiplicity 4)

## Properties
- Size of the total moment: 0.40 μB/atom

***

Arrangement two

DFT (PBE) results for a geometry-optimized USCl3 structure.

abc: 8.0235 9.8542 9.0233
angles: 90.00 90.00 90.00
Space group Imma (No. 74)
Unique sites:
U: 0.2500 0.2500 0.2500 (multiplicity 4)
S: 0.0000 0.2500 0.0737 (multiplicity 4)
Cl: 0.0000 0.2500 0.4503 (multiplicity 4)
Cl: 0.2500 0.0028 0.7500 (multiplicity 8)

## Properties
- Size of the total moment: 0.20 μB/atom

***

Tell me which of them is the least stable. Sure, it is arrangement one.

***

Arrangement one

DFT (PBE) results for a geometry-optimized V2SCl structure.

abc: 5.3811 5.3811 10.8013
angles: 90.00 90.00 90.00
Space group I-42d (No. 122)
Unique sites:
V: 0.2310 0.2500 0.1250 (multiplicity 8)
S: 0.0000 0.0000 0.0000 (multiplicity 4)
Cl: 0.0000 0.0000 0.5000 (multiplicity 4)

## Properties
- Size of the total moment: 1.12 μB/atom

***

Arrangement two

DFT (PBE) results for a geometry-optimized V2SCl structure.

abc: 6.0036 6.0036 6.0036
angles: 90.00 90.00 90.00
Space group Fm-3m (No. 225)
Unique sites:
V: 0.2500 0.2500 0.2500 (multiplicity 8)
S: 0.0000 0.0000 0.0000 (multiplicity 4)
Cl: 0.0000 0.0000 0.5000 (multiplicity 4)

## Properties
- Size of the total moment: 0.72 μB/atom

***

Tell me which of them is the least stable. Sure, it is arrangement two.

***

Arrangement one

DFT (PBE) results for a geometry-optimized VSCl2 structure.

abc: 11.8990 6.0645 3.3662
angles: 90.00 106.31 90.00
Space group C2 (No. 5)
Unique sites:
V: 0.0000 0.0000 0.0000 (multiplicity 2)
S: 0.0000 0.3345 0.0000 (multiplicity 2)
Cl: 0.1369 0.9008 0.6360 (multiplicity 4)

## Properties
- Size of the total moment: 0.25 μB/atom

***

Arrangement two

DFT (PBE) results for a geometry-optimized VSCl2 structure.

abc: 6.5733 6.5733 6.5733
angles: 90.00 90.00 90.00
Space group Fm-3m (No. 225)
Unique sites:
V: 0.0000 0.0000 0.0000 (multiplicity 4)
S: 0.0000 0.0000 0.5000 (multiplicity 4)
Cl: 0.2500 0.2500 0.2500 (multiplicity 8)

## Properties
- Size of the total moment: 0.25 μB/atom

***

Tell me which of them is the least stable. Sure, it is arrangement two.

***

Arrangement one

DFT (PBE) results for a geometry-optimized VSCl2 structure.

abc: 3.0901 3.0901 35.9813
angles: 90.00 90.00 120.00
Space group R-3m (No. 166, hexagonal axes)
Unique sites:
V: 0.0000 0.0000 0.0000 (multiplicity 3)
S: 0.0000 0.0000 0.5000 (multiplicity 3)
Cl: 0.0000 0.0000 0.0592 (multiplicity 6)

## Properties
- Size of the total moment: 0.35 μB/atom

***

Arrangement two

DFT (PBE) results for a geometry-optimized VSCl2 structure.

abc: 8.8753 8.8753 4.4904
angles: 90.00 90.00 90.00
Space group I-42d (No. 122)
Unique sites:
V: 0.0000 0.0000 0.0000 (multiplicity 4)
S: 0.0000 0.0000 0.5000 (multiplicity 4)
Cl: 0.1012 0.2500 0.1250 (multiplicity 8)

## Properties
- Size of the total moment: 0.25 μB/atom

***

Tell me which of them is the least stable. Sure, it is arrangement one.

***

Arrangement one

DFT (PBE) results for a geometry-optimized VWSCl2 structure.

abc: 4.6437 4.6437 4.9471
angles: 90.00 90.00 90.00
Space group P4/mmm (No. 123)
Unique sites:
V: 0.0000 0.0000 0.0000 (multiplicity 1)
W: 0.5000 0.5000 0.5000 (multiplicity 1)
S: 0.0000 0.0000 0.5000 (multiplicity 1)
Cl: 0.0000 0.5000 0.0000 (multiplicity 2)

## Properties
- Size of the total moment: 1.40 μB/atom

***

Arrangement two

DFT (PBE) results for a geometry-optimized VWSCl2 structure.

abc: 4.8471 4.8471 4.6436
angles: 90.00 90.00 90.00
Space group P4/mmm (No. 123)
Unique sites:
V: 0.0000 0.0000 0.0000 (multiplicity 1)
W: 0.5000 0.5000 0.5000 (multiplicity 1)
S: 0.5000 0.5000 0.0000 (multiplicity 1)
Cl: 0.0000 0.5000 0.5000 (multiplicity 2)

## Properties
- Size of the total moment: 0.83 μB/atom

***

Tell me which of them is the least stable. Sure, it is arrangement one.

***

Arrangement one

DFT (PBE) results for a geometry-optimized VZnSCl2 structure.

abc: 4.6375 4.6375 5.0749
angles: 90.00 90.00 90.00
Space group P4/mmm (No. 123)
Unique sites:
V: 0.0000 0.0000 0.0000 (multiplicity 1)
Zn: 0.5000 0.5000 0.5000 (multiplicity 1)
S: 0.5000 0.5000 0.0000 (multiplicity 1)
Cl: 0.0000 0.5000 0.5000 (multiplicity 2)

## Properties
- Size of the total moment: 0.60 μB/atom

***

Arrangement two

DFT (PBE) results for a geometry-optimized VZnSCl2 structure.

abc: 4.8421 4.8421 4.6131
angles: 90.00 90.00 90.00
Space group P4/mmm (No. 123)
Unique sites:
V: 0.0000 0.0000 0.0000 (multiplicity 1)
Zn: 0.5000 0.5000 0.5000 (multiplicity 1)
S: 0.0000 0.0000 0.5000 (multiplicity 1)
Cl: 0.0000 0.5000 0.0000 (multiplicity 2)

## Properties
- Size of the total moment: 0.37 μB/atom

***

Tell me which of them is the least stable. Sure, it is arrangement one.

***

Arrangement one

DFT (PBE) results for a geometry-optimized ZrVS2Cl structure.

abc: 5.0003 5.0003 4.9294
angles: 90.00 90.00 90.00
Space group P4/mmm (No. 123)
Unique sites:
Zr: 0.0000 0.0000 0.0000 (multiplicity 1)
V: 0.5000 0.5000 0.5000 (multiplicity 1)
S: 0.0000 0.5000 0.0000 (multiplicity 2)
Cl: 0.0000 0.0000 0.5000 (multiplicity 1)

## Properties
- Size of the total moment: 0.75 μB/atom

***

Arrangement two

DFT (PBE) results for a geometry-optimized ZrVS2Cl structure.

abc: 4.6906 4.6906 4.5315
angles: 90.00 90.00 90.00
Space group P4/mmm (No. 123)
Unique sites:
Zr: 0.0000 0.0000 0.0000 (multiplicity 1)
V: 0.5000 0.5000 0.5000 (multiplicity 1)
S: 0.0000 0.5000 0.5000 (multiplicity 2)
Cl: 0.5000 0.5000 0.0000 (multiplicity 1)

## Properties
- Size of the total moment: 0.77 μB/atom

***

Tell me which of them is the least stable. Sure, it is arrangement two.